Record 1
Ac2CeOs2 | PBE | optimized geometry

Cell lengths 4.3546, 6.1464, 10.0600 Å; angles 90.00, 90.00, 90.00 degrees
Space group Immm (No. 71)
Unique sites:
1 Ac 0.0000 0.0000 0.1906
2 Ce 0.0000 0.5000 0.0000
3 Os 0.0000 0.2504 0.5000

Results
**Size of the total moment**: 0.00 μB per cell
**Density**: 12.021 Mg/m³
**Calculated total energy**: -7.3974 eV per atom

---

Record 2
AcCe3Os2 | PBE | optimized geometry

Cell lengths 17.5337, 4.7515, 8.3526 Å; angles 90.00, 115.88, 90.00 degrees
Space group C2/m (No. 12)
Unique sites:
1 Ac 0.1657 0.0000 0.0573
2 Ce 0.0307 0.0000 0.3135
3 Ce 0.0961 0.5000 0.6406
4 Ce 0.1980 0.5000 0.4255
5 Os 0.0177 0.5000 0.1736
6 Os 0.1763 0.0000 0.6952

Results
**Size of the total moment**: 0.00 μB per cell
**Density**: 10.904 Mg/m³
**Calculated total energy**: -7.4377 eV per atom